Density functional theory data (PBE-GGA) for crystalline CeY6Tl5 at its relaxed geometry.

As for the spin magnetization: 3.20 μB per formula unit. For the volume, the calculation gives 714 Å³/cell.

The structure belongs to space group C2/m (No. 12); the cell edges are 10.364, 11.365 and 6.242 Å and the angles 90.00°, 103.86° and 90.00°. Symmetry generates all atoms from Ce at (0.000, 0.000, 0.000), Y at (0.226, 0.500, 0.232), Y at (0.229, 0.324, 0.738), Tl at (0.000, 0.142, 0.500), Tl at (0.000, 0.305, 0.000) and Tl at (0.000, 0.500, 0.500).

***

Density functional theory data (PBE-GGA) for crystalline CeY4Tl5 at its relaxed geometry.

As for the spin magnetization: 1.29 μB per formula unit. For the volume, the calculation gives 279 Å³/cell.

The structure belongs to space group P4/mmm (No. 123); the cell edges are 3.749, 3.749 and 19.854 Å and the angles 90.00°, 90.00° and 90.00°. Symmetry generates all atoms from Ce at (0.000, 0.000, 0.000), Y at (0.000, 0.000, 0.205), Y at (0.000, 0.000, 0.402), Tl at (0.500, 0.500, 0.107), Tl at (0.500, 0.500, 0.304) and Tl at (0.500, 0.500, 0.500).

***

Density functional theory data (PBE-GGA) for crystalline Ce2YTl4 at its relaxed geometry.

As for the spin magnetization: 2.98 μB per formula unit. For the volume, the calculation gives 428 Å³/cell.

The structure belongs to space group I4/mmm (No. 139); the cell edges are 5.226, 5.226 and 15.680 Å and the angles 90.00°, 90.00° and 90.00°. Symmetry generates all atoms from Ce at (0.000, 0.000, 0.249), Y at (0.000, 0.000, 0.500) and Tl at (0.000, 0.500, 0.111).

***

Density functional theory data (PBE-GGA) for crystalline CeY2Tl at its relaxed geometry.

As for the spin magnetization: 1.07 μB per formula unit. For the volume, the calculation gives 453 Å³/cell.

The structure belongs to space group Fm-3m (No. 225); the cell edges are 7.682, 7.682 and 7.682 Å and the angles 90.00°, 90.00° and 90.00°. Symmetry generates all atoms from Ce at (0.000, 0.000, 0.000), Y at (0.250, 0.250, 0.250) and Tl at (0.000, 0.000, 0.500).

***

Density functional theory data (PBE-GGA) for crystalline Ce2Y2Tl7 at its relaxed geometry.

As for the spin magnetization: 1.87 μB per formula unit. For the volume, the calculation gives 681 Å³/cell.

The structure belongs to space group C2/m (No. 12); the cell edges are 11.794, 9.429 and 6.167 Å and the angles 90.00°, 96.66° and 90.00°. Symmetry generates all atoms from Ce at (0.227, 0.000, 0.176), Y at (0.000, 0.312, 0.500), Tl at (0.000, 0.500, 0.000), Tl at (0.039, 0.000, 0.746) and Tl at (0.230, 0.333, 0.279).

***

Density functional theory data (PBE-GGA) for crystalline CeY2Tl at its relaxed geometry.

As for the spin magnetization: 1.41 μB per formula unit. For the volume, the calculation gives 115 Å³/cell.

The structure belongs to space group P4/mmm (No. 123); the cell edges are 4.951, 4.951 and 4.709 Å and the angles 90.00°, 90.00° and 90.00°. Symmetry generates all atoms from Ce at (0.000, 0.000, 0.000), Y at (0.000, 0.500, 0.500) and Tl at (0.500, 0.500, 0.000).

***

Density functional theory data (PBE-GGA) for crystalline Ce2YTl9 at its relaxed geometry.

As for the spin magnetization: 2.04 μB per formula unit. For the volume, the calculation gives 334 Å³/cell.

The structure belongs to space group P4/mmm (No. 123); the cell edges are 4.814, 4.814 and 14.417 Å and the angles 90.00°, 90.00° and 90.00°. Symmetry generates all atoms from Ce at (0.000, 0.000, 0.169), Y at (0.000, 0.000, 0.500), Tl at (0.000, 0.500, 0.000), Tl at (0.000, 0.500, 0.336), Tl at (0.500, 0.500, 0.167) and Tl at (0.500, 0.500, 0.500).

***

Density functional theory data (PBE-GGA) for crystalline Ce2YTl3 at its relaxed geometry.

As for the spin magnetization: 2.68 μB per formula unit. For the volume, the calculation gives 169 Å³/cell.

The structure belongs to space group P4/mmm (No. 123); the cell edges are 3.527, 3.527 and 13.595 Å and the angles 90.00°, 90.00° and 90.00°. Symmetry generates all atoms from Ce at (0.000, 0.000, 0.170), Y at (0.000, 0.000, 0.500), Tl at (0.500, 0.500, 0.000) and Tl at (0.500, 0.500, 0.339).

***

Density functional theory data (PBE-GGA) for crystalline CeY2Tl9 at its relaxed geometry.

As for the spin magnetization: 1.02 μB per formula unit. For the volume, the calculation gives 331 Å³/cell.

The structure belongs to space group P4/mmm (No. 123); the cell edges are 4.796, 4.796 and 14.372 Å and the angles 90.00°, 90.00° and 90.00°. Symmetry generates all atoms from Ce at (0.000, 0.000, 0.000), Y at (0.000, 0.000, 0.335), Tl at (0.000, 0.500, 0.169), Tl at (0.000, 0.500, 0.500), Tl at (0.500, 0.500, 0.000) and Tl at (0.500, 0.500, 0.334).

***

Density functional theory data (PBE-GGA) for crystalline Ce2YTl at its relaxed geometry.

As for the spin magnetization: 3.48 μB per formula unit. For the volume, the calculation gives 481 Å³/cell.

The structure belongs to space group Fm-3m (No. 225); the cell edges are 7.835, 7.835 and 7.835 Å and the angles 90.00°, 90.00° and 90.00°. Symmetry generates all atoms from Ce at (0.250, 0.250, 0.250), Y at (0.000, 0.000, 0.000) and Tl at (0.000, 0.000, 0.500).

***

Density functional theory data (PBE-GGA) for crystalline Ce2Y3Tl4 at its relaxed geometry.

As for the spin magnetization: 2.17 μB per formula unit. For the volume, the calculation gives 1105 Å³/cell.

The structure belongs to space group Cmce (No. 64); the cell edges are 7.234, 16.569 and 9.219 Å and the angles 90.00°, 90.00° and 90.00°. Symmetry generates all atoms from Ce at (0.000, 0.109, 0.076), Y at (0.000, 0.000, 0.500), Y at (0.250, 0.213, 0.750), Tl at (0.000, 0.187, 0.458) and Tl at (0.250, 0.028, 0.750).

***

Density functional theory data (PBE-GGA) for crystalline Ce2YTl2 at its relaxed geometry.

As for the spin magnetization: 0.33 μB per formula unit. For the volume, the calculation gives 284 Å³/cell.

The structure belongs to space group C2/m (No. 12); the cell edges are 5.986, 6.120 and 8.256 Å and the angles 90.00°, 109.97° and 90.00°. Symmetry generates all atoms from Ce at (0.000, 0.225, 0.000), Y at (0.000, 0.000, 0.500) and Tl at (0.087, 0.500, 0.687).

***

Density functional theory data (PBE-GGA) for crystalline CeYTl2 at its relaxed geometry.

As for the spin magnetization: 1.03 μB per formula unit. For the volume, the calculation gives 112 Å³/cell.

The structure belongs to space group P4/mmm (No. 123); the cell edges are 3.569, 3.569 and 8.829 Å and the angles 90.00°, 90.00° and 90.00°. Symmetry generates all atoms from Ce at (0.000, 0.000, 0.000), Y at (0.000, 0.000, 0.500) and Tl at (0.500, 0.500, 0.256).

***

Density functional theory data (PBE-GGA) for crystalline Ce3YTl3 at its relaxed geometry.

As for the spin magnetization: 3.31 μB per formula unit. For the volume, the calculation gives 402 Å³/cell.

The structure belongs to space group P6_3/m (No. 176); the cell edges are 9.5538, 9.5538 and 5.0804 Å and the angles 90.00°, 90.00° and 120.00°. Symmetry generates all atoms from Ce at (0.0035, 0.7788, 0.2500), Y at (0.3333, 0.6667, 0.2500) and Tl at (0.0751, 0.6150, 0.7500).

***

Density functional theory data (PBE-GGA) for crystalline Ce5YTl6 at its relaxed geometry.

As for the spin magnetization: 6.69 μB per formula unit. For the volume, the calculation gives 680 Å³/cell.

The structure belongs to space group Immm (No. 71); the cell edges are 4.961, 9.202 and 14.903 Å and the angles 90.00°, 90.00° and 90.00°. Symmetry generates all atoms from Ce at (0.000, 0.000, 0.000), Ce at (0.000, 0.000, 0.324), Ce at (0.000, 0.500, 0.336), Y at (0.000, 0.500, 0.000), Tl at (0.000, 0.243, 0.500) and Tl at (0.000, 0.254, 0.164).

***

Density functional theory data (PBE-GGA) for crystalline CeY3Tl4 at its relaxed geometry.

As for the spin magnetization: 1.27 μB per formula unit. For the volume, the calculation gives 225 Å³/cell.

The structure belongs to space group P4/mmm (No. 123); the cell edges are 5.426, 5.426 and 7.635 Å and the angles 90.00°, 90.00° and 90.00°. Symmetry generates all atoms from Ce at (0.000, 0.000, 0.000), Y at (0.000, 0.000, 0.500), Y at (0.500, 0.500, 0.000), Y at (0.500, 0.500, 0.500) and Tl at (0.000, 0.500, 0.257).

***

Density functional theory data (PBE-GGA) for crystalline CeYTl3 at its relaxed geometry.

As for the spin magnetization: 0.98 μB per formula unit. For the volume, the calculation gives 614 Å³/cell.

The structure belongs to space group Pnma (No. 62); the cell edges are 9.692, 8.160 and 7.758 Å and the angles 90.00°, 90.00° and 90.00°. Symmetry generates all atoms from Ce at (0.105, 0.250, 0.077), Y at (0.000, 0.000, 0.500), Tl at (0.126, 0.750, 0.223) and Tl at (0.189, 0.559, 0.847).

***

Density functional theory data (PBE-GGA) for crystalline CeY5Tl6 at its relaxed geometry.

As for the spin magnetization: 1.22 μB per formula unit. For the volume, the calculation gives 670 Å³/cell.

The structure belongs to space group C2/m (No. 12); the cell edges are 9.333, 16.265 and 5.401 Å and the angles 90.00°, 125.26° and 90.00°. Symmetry generates all atoms from Ce at (0.000, 0.000, 0.000), Y at (0.000, 0.163, 0.500), Y at (0.000, 0.332, 0.000), Y at (0.000, 0.500, 0.500), Tl at (0.241, 0.500, 0.241) and Tl at (0.246, 0.331, 0.746).

***

Density functional theory data (PBE-GGA) for crystalline Ce2Y3Tl3 at its relaxed geometry.

As for the spin magnetization: 0.93 μB per formula unit. For the volume, the calculation gives 453 Å³/cell.

The structure belongs to space group C2/m (No. 12); the cell edges are 23.094, 3.725 and 5.380 Å and the angles 90.00°, 101.62° and 90.00°. Symmetry generates all atoms from Ce at (0.243, 0.000, 0.183), Y at (0.000, 0.000, 0.000), Y at (0.122, 0.000, 0.557), Tl at (0.000, 0.500, 0.500) and Tl at (0.122, 0.500, 0.048).

***

Density functional theory data (PBE-GGA) for crystalline Ce2Y2Tl3 at its relaxed geometry.

As for the spin magnetization: 2.79 μB per formula unit. For the volume, the calculation gives 437 Å³/cell.

The structure belongs to space group Immm (No. 71); the cell edges are 5.365, 5.453 and 14.935 Å and the angles 90.00°, 90.00° and 90.00°. Symmetry generates all atoms from Ce at (0.000, 0.000, 0.124), Y at (0.000, 0.000, 0.380), Tl at (0.000, 0.500, 0.000) and Tl at (0.000, 0.500, 0.252).

***

Density functional theory data (PBE-GGA) for crystalline Ce3Y2Tl4 at its relaxed geometry.

As for the spin magnetization: 3.22 μB per formula unit. For the volume, the calculation gives 516 Å³/cell.

The structure belongs to space group C2/m (No. 12); the cell edges are 9.335, 5.368 and 10.306 Å and the angles 90.00°, 91.99° and 90.00°. Symmetry generates all atoms from Ce at (0.000, 0.000, 0.000), Ce at (0.134, 0.500, 0.561), Y at (0.178, 0.500, 0.223), Tl at (0.026, 0.000, 0.340) and Tl at (0.162, 0.500, 0.892).

***

Density functional theory data (PBE-GGA) for crystalline CeY5Tl3 at its relaxed geometry.

As for the spin magnetization: 2.96 μB per formula unit. For the volume, the calculation gives 517 Å³/cell.

The structure belongs to space group P6_3/mcm (No. 193); the cell edges are 9.4105, 9.4105 and 6.7401 Å and the angles 90.00°, 90.00° and 120.00°. Symmetry generates all atoms from Ce at (0.0000, 0.0000, 0.0000), Y at (0.0000, 0.3244, 0.2500), Y at (0.3333, 0.6667, 0.0000) and Tl at (0.0000, 0.3430, 0.7500).

***

no.,DFT formation energy (kJ/mol of atoms)
1,-18.5
2,-33.4
3,-15.0
4,1.4
5,-5.8
6,-13.3
7,-23.6
8,-27.4
9,-23.9
10,6.0
11,-16.8
12,-11.9
13,-29.7
14,-10.3
15,-25.2
16,-32.1
17,-8.5
18,-33.5
19,-24.0
20,-13.6
21,-23.2
22,-27.1